Record 1
Computed, not measured: a geometry-optimized LaHfBi structure at the PBE level of DFT.

Results
Fermi-level density of states = 0.904 states/eV/atom
final energy = -6.742 eV/atom
formation energy from the elements = -488 meV/atom

Cell: 4.484 4.484 8.697 Å, 90.00 90.00 90.00°
Space group P4/nmm (No. 129, origin choice 2)
Symmetry-distinct sites (fractional):
La 0.250 0.250 0.152 [2 per cell]
Hf 0.250 0.750 0.500 [2 per cell]
Bi 0.250 0.250 0.752 [2 per cell]

Record 2
Computed, not measured: a geometry-optimized LaHf2Bi2 structure at the PBE level of DFT.

Results
Fermi-level density of states = 0.965 states/eV/atom
final energy = -6.688 eV/atom
ΔE to the lowest computed polymorph = 0.87 eV per formula unit
formation energy from the elements = -169 meV/atom

Cell: 8.451 8.451 3.780 Å, 90.00 90.00 90.00°
Space group P4/mbm (No. 127)
Symmetry-distinct sites (fractional):
La 0.000 0.000 0.000 [2 per cell]
Hf 0.145 0.355 0.500 [4 per cell]
Bi 0.144 0.644 0.000 [4 per cell]

Record 3
Computed, not measured: a geometry-optimized La2HfBi2 structure at the PBE level of DFT.

Results
Fermi-level density of states = 0.593 states/eV/atom
final energy = -6.020 eV/atom
formation energy from the elements = -506 meV/atom

Cell: 8.209 8.209 4.634 Å, 90.00 90.00 90.00°
Space group P4/mbm (No. 127)
Symmetry-distinct sites (fractional):
La 0.161 0.339 0.000 [4 per cell]
Hf 0.000 0.000 0.500 [2 per cell]
Bi 0.149 0.649 0.500 [4 per cell]

Record 4
Computed, not measured: a geometry-optimized La2HfBi structure at the PBE level of DFT.

Results
Fermi-level density of states = 1.634 states/eV/atom
final energy = -5.794 eV/atom
ΔE to the lowest computed polymorph = 0.60 eV per formula unit
formation energy from the elements = 128 meV/atom

Cell: 8.900 8.900 6.365 Å, 90.00 90.00 90.00°
Space group I-42d (No. 122)
Symmetry-distinct sites (fractional):
La 0.250 0.250 0.375 [8 per cell]
Hf 0.000 0.000 0.000 [4 per cell]
Bi 0.000 0.000 0.500 [4 per cell]

Record 5
Computed, not measured: a geometry-optimized LaHfBi2 structure at the PBE level of DFT.

Results
Fermi-level density of states = 1.088 states/eV/atom
final energy = -5.687 eV/atom
ΔE to the lowest computed polymorph = 1.11 eV per formula unit
formation energy from the elements = -27 meV/atom

Cell: 3.4478 3.4478 34.9135 Å, 90.00 90.00 120.00°
Space group R-3m (No. 166, hexagonal axes)
Symmetry-distinct sites (fractional):
La 0.0000 0.0000 0.0000 [3 per cell]
Hf 0.0000 0.0000 0.5000 [3 per cell]
Bi 0.0000 0.0000 0.0971 [6 per cell]

Record 6
Computed, not measured: a geometry-optimized La2HfBi structure at the PBE level of DFT.

Results
Fermi-level density of states = 1.415 states/eV/atom
final energy = -5.943 eV/atom
ΔE to the lowest computed polymorph = 0.00 eV per formula unit
formation energy from the elements = -21 meV/atom

Cell: 7.910 7.910 7.910 Å, 90.00 90.00 90.00°
Space group Fm-3m (No. 225)
Symmetry-distinct sites (fractional):
La 0.250 0.250 0.250 [8 per cell]
Hf 0.000 0.000 0.000 [4 per cell]
Bi 0.000 0.000 0.500 [4 per cell]

Record 7
Computed, not measured: a geometry-optimized LaHfBi2 structure at the PBE level of DFT.

Results
Fermi-level density of states = 1.157 states/eV/atom
final energy = -5.910 eV/atom
ΔE to the lowest computed polymorph = 0.22 eV per formula unit
formation energy from the elements = -250 meV/atom

Cell: 8.444 8.444 6.970 Å, 90.00 90.00 90.00°
Space group I-42d (No. 122)
Symmetry-distinct sites (fractional):
La 0.000 0.000 0.000 [4 per cell]
Hf 0.000 0.000 0.500 [4 per cell]
Bi 0.221 0.250 0.625 [8 per cell]

Record 8
Computed, not measured: a geometry-optimized LaHf2Bi2 structure at the PBE level of DFT.

Results
Fermi-level density of states = 1.202 states/eV/atom
final energy = -6.862 eV/atom
ΔE to the lowest computed polymorph = 0.00 eV per formula unit
formation energy from the elements = -343 meV/atom

Cell: 4.334 4.334 15.037 Å, 90.00 90.00 90.00°
Space group I4/mmm (No. 139)
Symmetry-distinct sites (fractional):
La 0.000 0.000 0.000 [2 per cell]
Hf 0.000 0.500 0.250 [4 per cell]
Bi 0.000 0.000 0.391 [4 per cell]

Record 9
Computed, not measured: a geometry-optimized LaHfBi3 structure at the PBE level of DFT.

Results
Fermi-level density of states = 0.532 states/eV/atom
final energy = -5.819 eV/atom
ΔE to the lowest computed polymorph = 0.00 eV per formula unit
formation energy from the elements = -515 meV/atom

Cell: 13.974 6.711 6.555 Å, 90.00 90.00 90.00°
Space group Pbcm (No. 57)
Symmetry-distinct sites (fractional):
La 0.184 0.011 0.250 [4 per cell]
Hf 0.409 0.750 0.000 [4 per cell]
Bi 0.003 0.750 0.000 [4 per cell]
Bi 0.263 0.516 0.250 [4 per cell]
Bi 0.422 0.117 0.250 [4 per cell]

Record 10
Computed, not measured: a geometry-optimized LaHfMn2Bi structure at the PBE level of DFT.

Results
Fermi-level density of states = 2.328 states/eV/atom
final energy = -5.730 eV/atom
formation energy from the elements = 1690 meV/atom

Cell: 4.830 4.830 5.852 Å, 90.00 90.00 90.00°
Space group P4/mmm (No. 123)
Symmetry-distinct sites (fractional):
La 0.000 0.000 0.000 [1 per cell]
Hf 0.500 0.500 0.000 [1 per cell]
Mn 0.000 0.500 0.500 [2 per cell]
Bi 0.000 0.000 0.500 [1 per cell]

Record 11
Computed, not measured: a geometry-optimized LaHf2BiN structure at the PBE level of DFT.

Results
Fermi-level density of states = 1.223 states/eV/atom
final energy = -6.158 eV/atom
ΔE_f (raw) = 1.25 eV per atom

Cell: 5.586 5.586 4.125 Å, 90.00 90.00 90.00°
Space group P4/mmm (No. 123)
Symmetry-distinct sites (fractional):
La 0.000 0.000 0.000 [1 per cell]
Hf 0.000 0.500 0.000 [2 per cell]
Bi 0.500 0.500 0.500 [1 per cell]
N 0.000 0.000 0.500 [1 per cell]

Record 12
Computed, not measured: a geometry-optimized LiHf3Bi structure at the PBE level of DFT.

Results
Fermi-level density of states = 1.013 states/eV/atom
final energy = -5.791 eV/atom
ΔE to the lowest computed polymorph = 4.05 eV per formula unit
formation energy from the elements = 1340 meV/atom

Cell: 5.415 5.415 5.415 Å, 90.00 90.00 90.00°
Space group Pm-3m (No. 221)
Symmetry-distinct sites (fractional):
Li 0.000 0.000 0.000 [1 per cell]
Hf 0.000 0.500 0.500 [3 per cell]
Bi 0.500 0.500 0.500 [1 per cell]